# CaLaS

A relaxed CaLaS crystal (PBE-GGA, the Alexandria database).

Unit cell a=8.226 b=8.226 c=8.226 alpha=34.96 beta=34.96 gamma=34.96
Fractional positions:
Ca1 0.125 0.125 0.125
Ca2 0.875 0.875 0.875
La1 0.377 0.377 0.377
La2 0.623 0.623 0.623
S1 0.248 0.248 0.248
S2 0.752 0.752 0.752

Properties
Raw formation energy in meV/atom: -1007


# YPtSCl2

A relaxed YPtSCl2 crystal (PBE-GGA, the Alexandria database).

Unit cell a=4.785 b=4.785 c=4.915 alpha=90.00 beta=90.00 gamma=90.00
Fractional positions:
Y1 0.000 0.000 0.000
Pt1 0.500 0.500 0.500
S1 0.500 0.500 0.000
Cl1 0.000 0.500 0.500
Cl2 0.500 0.000 0.500

Properties
ΔE to the lowest computed polymorph in eV per formula unit: 0.00
Raw formation energy in meV/atom: -499


# Fe2Pb

A relaxed Fe2Pb crystal (PBE-GGA, the Alexandria database).

Unit cell a=5.523 b=4.127 c=8.858 alpha=90.00 beta=90.00 gamma=90.00
Fractional positions:
Fe1 0.015 0.250 0.197
Fe2 0.145 0.250 0.937
Fe3 0.355 0.750 0.437
Fe4 0.485 0.750 0.697
Fe5 0.515 0.250 0.303
Fe6 0.645 0.250 0.563
Fe7 0.855 0.750 0.063
Fe8 0.985 0.750 0.803
Pb1 0.153 0.250 0.615
Pb2 0.347 0.750 0.115
Pb3 0.653 0.250 0.885
Pb4 0.847 0.750 0.385

Properties
Formation energy from the elements in eV per atom: 0.473


# CaCoSn3

A relaxed CaCoSn3 crystal (PBE-GGA, the Alexandria database).

Unit cell a=9.021 b=4.383 c=11.486 alpha=90.00 beta=90.00 gamma=90.00
Fractional positions:
Ca1 0.187 0.250 0.015
Ca2 0.313 0.750 0.515
Ca3 0.687 0.250 0.485
Ca4 0.813 0.750 0.985
Co1 0.079 0.250 0.344
Co2 0.421 0.750 0.844
Co3 0.579 0.250 0.156
Co4 0.921 0.750 0.656
Sn1 0.065 0.250 0.577
Sn2 0.130 0.750 0.813
Sn3 0.134 0.750 0.218
Sn4 0.366 0.250 0.718
Sn5 0.370 0.250 0.313
Sn6 0.435 0.750 0.077
Sn7 0.565 0.250 0.923
Sn8 0.630 0.750 0.687
Sn9 0.634 0.750 0.282
Sn10 0.866 0.250 0.782
Sn11 0.870 0.250 0.187
Sn12 0.935 0.750 0.423

Properties
Formation energy from the elements in eV per atom: -0.302